Material: HfZn2CuOs
Method: DFT, PBE
State: relaxed

Values from the calculation:
The calculation puts the mass density at 8.062 g/cm³. Its formation energy is 2.0370 eV per atom.

a b c (Å): 4.964 4.707 4.964
angles (deg): 90.00 90.00 90.00
Element x y z (fractional)
Hf  0.000  0.000  0.000
Zn  0.000  0.000  0.500
Zn  0.500  0.000  0.000
Os  0.500  0.500  0.500
Cu  0.000  0.500  0.000

---

Material: AuSNO2
Method: DFT, PBE
State: relaxed

Values from the calculation:
The calculation puts the mass density at 8.127 g/cm³. Its formation energy (no corrections) is 889 meV/atom.

a b c (Å): 3.366 3.366 4.959
angles (deg): 90.00 90.00 90.00
Element x y z (fractional)
N  0.000  0.000  0.500
O  0.000  0.500  0.000
O  0.500  0.000  0.000
S  0.000  0.000  0.000
Au  0.500  0.500  0.500

---

Material: Sc2Ni2Ir
Method: DFT, PBE
State: relaxed

Values from the calculation:
The calculation puts the mass density at 8.450 g/cm³. Its formation energy is -0.5514 eV per atom.

a b c (Å): 6.550 6.550 3.660
angles (deg): 90.00 90.00 90.00
Element x y z (fractional)
Ni  0.376  0.876  0.000
Ni  0.876  0.624  0.000
Ni  0.624  0.124  0.000
Ni  0.124  0.376  0.000
Sc  0.316  0.184  0.500
Sc  0.684  0.816  0.500
Sc  0.816  0.316  0.500
Sc  0.184  0.684  0.500
Ir  0.000  0.000  0.000
Ir  0.500  0.500  0.000

---

Material: Ba2CaGeO
Method: DFT, PBE
State: relaxed

Values from the calculation:
The calculation puts the mass density at 4.657 g/cm³. Its formation energy (no corrections) is -1296 meV/atom.

a b c (Å): 5.474 5.474 4.801
angles (deg): 90.00 90.00 90.00
Element x y z (fractional)
Ba  0.500  0.000  0.000
Ba  0.000  0.500  0.000
Ca  0.000  0.000  0.500
Ge  0.500  0.500  0.500
O  0.000  0.000  0.000

---

Material: SrScTiBi2
Method: DFT, PBE
State: relaxed

Values from the calculation:
The calculation puts the mass density at 5.381 g/cm³. Its formation energy is 1.1238 eV per atom.

a b c (Å): 5.950 5.217 5.950
angles (deg): 90.00 90.00 90.00
Element x y z (fractional)
Sr  0.000  0.000  0.000
Ti  0.000  0.500  0.000
Sc  0.500  0.500  0.500
Bi  0.000  0.000  0.500
Bi  0.500  0.000  0.000

---

Material: PmNd3Bi3
Method: DFT, PBE
State: relaxed

Values from the calculation:
The calculation puts the mass density at 7.485 g/cm³. Its formation energy is -0.5758 eV per atom.

a b c (Å): 6.397 9.823 9.823
angles (deg): 120.00 90.00 90.00
Element x y z (fractional)
Nd  0.250  0.068  0.682
Nd  0.750  0.932  0.318
Nd  0.250  0.614  0.932
Nd  0.750  0.386  0.068
Nd  0.750  0.682  0.614
Nd  0.250  0.318  0.386
Bi  0.250  0.960  0.293
Bi  0.750  0.040  0.707
Bi  0.750  0.667  0.960
Bi  0.750  0.293  0.333
Bi  0.250  0.333  0.040
Bi  0.250  0.707  0.667
Pm  0.250  0.667  0.333
Pm  0.750  0.333  0.667

---

Material: LiMn2Se3
Method: DFT, PBE
State: relaxed

Values from the calculation:
The calculation puts the mass density at 4.257 g/cm³. Its formation energy (no corrections) is -603 meV/atom.

a b c (Å): 4.381 5.273 12.143
angles (deg): 90.00 100.38 90.00
Element x y z (fractional)
Mn  0.055  0.250  0.113
Mn  0.718  0.250  0.435
Mn  0.945  0.750  0.887
Mn  0.282  0.750  0.565
Se  0.952  0.250  0.905
Se  0.611  0.250  0.225
Se  0.726  0.750  0.453
Se  0.048  0.750  0.095
Se  0.274  0.250  0.547
Se  0.389  0.750  0.775
Li  0.393  0.250  0.787
Li  0.607  0.750  0.213

---

Material: CrRhSe2
Method: DFT, PBE
State: relaxed

Values from the calculation:
The calculation puts the mass density at 7.807 g/cm³. Its formation energy (no corrections) is 430 meV/atom.

a b c (Å): 4.548 4.548 4.548
angles (deg): 60.00 60.00 60.00
Element x y z (fractional)
Se  0.000  0.000  0.000
Se  0.750  0.750  0.750
Cr  0.500  0.500  0.500
Rh  0.250  0.250  0.250

---

Material: MgCu2O4
Method: DFT, PBE
State: relaxed

Values from the calculation:
The calculation puts the mass density at 4.610 g/cm³. Its formation energy (no corrections) is -908 meV/atom.

a b c (Å): 7.343 7.343 8.907
angles (deg): 57.96 57.96 22.59
Element x y z (fractional)
O  0.771  0.771  0.356
O  0.142  0.142  0.290
O  0.120  0.120  0.026
O  0.559  0.559  0.646
O  0.857  0.857  0.710
O  0.439  0.439  0.352
O  0.879  0.879  0.974
O  0.228  0.228  0.644
Cu  0.392  0.392  0.812
Cu  0.847  0.847  0.490
Cu  0.607  0.607  0.187
Cu  0.152  0.152  0.510
Mg  0.678  0.678  0.834
Mg  0.321  0.321  0.166

---

Material: Sm2PuSc
Method: DFT, PBE
State: relaxed

Values from the calculation:
The calculation puts the mass density at 8.326 g/cm³. Its formation energy is 0.1561 eV per atom.

a b c (Å): 4.816 4.942 4.942
angles (deg): 90.00 90.00 90.00
Element x y z (fractional)
Sm  0.000  0.500  0.000
Sm  0.000  0.000  0.500
Pu  0.500  0.000  0.000
Sc  0.500  0.500  0.500

---

Material: Sm6Er8Tl
Method: DFT, PBE
State: relaxed

Values from the calculation:
The calculation puts the mass density at 8.169 g/cm³. Its formation energy is 0.2085 eV per atom.

a b c (Å): 6.694 9.258 9.258
angles (deg): 120.00 90.00 90.00
Element x y z (fractional)
Er  0.893  0.983  0.314
Er  0.893  0.331  0.017
Er  0.825  0.333  0.667
Er  0.893  0.686  0.669
Er  0.107  0.017  0.686
Er  0.107  0.314  0.331
Er  0.175  0.667  0.333
Er  0.107  0.669  0.983
Sm  0.397  0.603  0.683
Sm  0.397  0.317  0.920
Sm  0.397  0.080  0.397
Sm  0.603  0.920  0.603
Sm  0.603  0.397  0.317
Sm  0.603  0.683  0.080
Tl  0.500  0.000  0.000

---

Material: HoSiHg
Method: DFT, PBE
State: relaxed

Values from the calculation:
The calculation puts the mass density at 9.830 g/cm³. Its formation energy (no corrections) is -382 meV/atom.

a b c (Å): 4.107 4.324 4.324
angles (deg): 120.00 90.00 90.00
Element x y z (fractional)
Ho  0.677  0.333  0.667
Hg  0.237  0.667  0.333
Si  0.086  0.000  0.000

---

Which value of mass density does entry 5 give?
5.381 g/cm³

---

Number 5 is which compound?
SrScTiBi2

---

Which of these has the highest mass density?
HoSiHg